Model P:
First-principles (GGA-PBE) data for crystalline Ni3BAu at its relaxed geometry, as listed in Alexandria via LeMat-Bulk.

Unit cell a=3.8857 b=3.8857 c=3.8857 alpha=90.00 beta=90.00 gamma=90.00
Last column: nearest neighbours and their distance in Å.
Space group Pm-3m (No. 221)
One atom of each set of equivalent atoms:
Ni1 0.0000 0.0000 0.5000 [3 per cell]  2 B 1.94
B1 0.0000 0.0000 0.0000 [1 per cell]  6 Ni 1.94
Au1 0.5000 0.5000 0.5000 [1 per cell]  12 Ni 2.75

**DOS(E_F)**: 1.3 states/eV/cell
**Theoretical density**: 10.86 Mg/m³
**Volume**: 11.73 Å³/atom



Model Q:
First-principles (GGA-PBE) data for crystalline Ni3BAu at its relaxed geometry, as listed in Alexandria via LeMat-Bulk.

Unit cell a=4.6707 b=4.6707 c=4.6707 alpha=90.00 beta=90.00 gamma=90.00
Last column: nearest neighbours and their distance in Å.
Space group Pm-3m (No. 221)
One atom of each set of equivalent atoms:
Ni1 0.0000 0.0000 0.5000 [3 per cell]  2 Au 2.34
B1 0.5000 0.5000 0.5000 [1 per cell]  12 Ni 3.30
Au1 0.0000 0.0000 0.0000 [1 per cell]  6 Ni 2.34

**DOS(E_F)**: 11.8 states/eV/cell
**Theoretical density**: 6.26 Mg/m³
**Volume**: 20.38 Å³/atom



Most stable structure, least stable structure: model P, model Q.



Model P:
First-principles (GGA-PBE) data for crystalline NiB3Au at its relaxed geometry, as listed in Alexandria via LeMat-Bulk.

Unit cell a=4.1315 b=4.1315 c=4.1315 alpha=90.00 beta=90.00 gamma=90.00
Last column: nearest neighbours and their distance in Å.
Space group Pm-3m (No. 221)
One atom of each set of equivalent atoms:
Ni1 0.0000 0.0000 0.0000 [1 per cell]  12 B 2.92
B1 0.0000 0.5000 0.5000 [3 per cell]  2 Au 2.07
Au1 0.5000 0.5000 0.5000 [1 per cell]  6 B 2.07

**DOS(E_F)**: 1.7 states/eV/cell
**Theoretical density**: 6.78 Mg/m³
**Volume**: 14.10 Å³/atom



Model Q:
First-principles (GGA-PBE) data for crystalline NiB3Au at its relaxed geometry, as listed in Alexandria via LeMat-Bulk.

Unit cell a=3.8541 b=3.8541 c=3.8541 alpha=90.00 beta=90.00 gamma=90.00
Last column: nearest neighbours and their distance in Å.
Space group Pm-3m (No. 221)
One atom of each set of equivalent atoms:
Ni1 0.0000 0.0000 0.0000 [1 per cell]  6 B 1.93
B1 0.0000 0.0000 0.5000 [3 per cell]  2 Ni 1.93
Au1 0.5000 0.5000 0.5000 [1 per cell]  12 B 2.73

**DOS(E_F)**: 1.2 states/eV/cell
**Theoretical density**: 8.36 Mg/m³
**Volume**: 11.45 Å³/atom



Most stable structure, least stable structure: model Q, model P.



Model P:
First-principles (GGA-PBE) data for crystalline BAu2O at its relaxed geometry, as listed in Alexandria via LeMat-Bulk.

Unit cell a=5.8533 b=5.8533 c=5.8533 alpha=90.00 beta=90.00 gamma=90.00
Last column: nearest neighbours and their distance in Å.
Space group Fm-3m (No. 225)
One atom of each set of equivalent atoms:
B1 0.0000 0.0000 0.0000 [4 per cell]  8 Au 2.53
Au1 0.2500 0.2500 0.2500 [8 per cell]  4 B 2.53, 4 O 2.53
O1 0.0000 0.0000 0.5000 [4 per cell]  8 Au 2.53

**DOS(E_F)**: 6.5 states/eV/cell
**Theoretical density**: 13.94 Mg/m³
**Volume**: 12.53 Å³/atom



Model Q:
First-principles (GGA-PBE) data for crystalline BAu2O at its relaxed geometry, as listed in Alexandria via LeMat-Bulk.

Unit cell a=5.5586 b=5.5586 c=7.7451 alpha=90.00 beta=90.00 gamma=90.00
Last column: nearest neighbours and their distance in Å.
Space group I-42d (No. 122)
One atom of each set of equivalent atoms:
B1 0.0000 0.0000 0.0000 [4 per cell]  4 Au 2.10
Au1 0.2246 0.2500 0.1250 [8 per cell]  2 B 2.10, 2 O 2.28
O1 0.0000 0.0000 0.5000 [4 per cell]  4 Au 2.28

**DOS(E_F)**: 11.2 states/eV/cell
**Theoretical density**: 11.68 Mg/m³
**Volume**: 14.96 Å³/atom



Most stable structure, least stable structure: model Q, model P.



Model P:
First-principles (GGA-PBE) data for crystalline BPAuO2 at its relaxed geometry, as listed in Alexandria via LeMat-Bulk.

Unit cell a=3.2514 b=3.2514 c=7.0383 alpha=90.00 beta=90.00 gamma=90.00
Last column: nearest neighbours and their distance in Å.
Space group P4/mmm (No. 123)
One atom of each set of equivalent atoms:
B1 0.0000 0.0000 0.0000 [1 per cell]  4 O 1.63
P1 0.0000 0.0000 0.5000 [1 per cell]  4 Au 2.30
Au1 0.5000 0.5000 0.5000 [1 per cell]  4 P 2.30
O1 0.0000 0.5000 0.0000 [2 per cell]  2 B 1.63

**DOS(E_F)**: 3.0 states/eV/cell
**Theoretical density**: 6.04 Mg/m³
**Volume**: 14.88 Å³/atom



Model Q:
First-principles (GGA-PBE) data for crystalline BPAuO2 at its relaxed geometry, as listed in Alexandria via LeMat-Bulk.

Unit cell a=3.8753 b=3.8753 c=5.2130 alpha=90.00 beta=90.00 gamma=90.00
Last column: nearest neighbours and their distance in Å.
Space group P4/mmm (No. 123)
One atom of each set of equivalent atoms:
B1 0.0000 0.0000 0.0000 [1 per cell]  4 P 2.74
P1 0.5000 0.5000 0.0000 [1 per cell]  2 Au 2.61, 4 B 2.74
Au1 0.5000 0.5000 0.5000 [1 per cell]  4 O 1.94
O1 0.0000 0.5000 0.5000 [2 per cell]  2 Au 1.94

**DOS(E_F)**: 4.2 states/eV/cell
**Theoretical density**: 5.74 Mg/m³
**Volume**: 15.66 Å³/atom



Most stable structure, least stable structure: model P, model Q.



Model P:
First-principles (GGA-PBE) data for crystalline BP3Au at its relaxed geometry, as listed in Alexandria via LeMat-Bulk.

Unit cell a=4.8519 b=4.8519 c=4.8519 alpha=90.00 beta=90.00 gamma=90.00
Last column: nearest neighbours and their distance in Å.
Space group Pm-3m (No. 221)
One atom of each set of equivalent atoms:
B1 0.0000 0.0000 0.0000 [1 per cell]  12 P 3.43
P1 0.0000 0.5000 0.5000 [3 per cell]  2 Au 2.43
Au1 0.5000 0.5000 0.5000 [1 per cell]  6 P 2.43

**DOS(E_F)**: 4.6 states/eV/cell
**Theoretical density**: 4.37 Mg/m³
**Volume**: 22.84 Å³/atom



Model Q:
First-principles (GGA-PBE) data for crystalline BP3Au at its relaxed geometry, as listed in Alexandria via LeMat-Bulk.

Unit cell a=4.1478 b=4.1478 c=4.1478 alpha=90.00 beta=90.00 gamma=90.00
Last column: nearest neighbours and their distance in Å.
Space group Pm-3m (No. 221)
One atom of each set of equivalent atoms:
B1 0.0000 0.0000 0.0000 [1 per cell]  6 P 2.07
P1 0.0000 0.0000 0.5000 [3 per cell]  2 B 2.07
Au1 0.5000 0.5000 0.5000 [1 per cell]  12 P 2.93

**DOS(E_F)**: 2.2 states/eV/cell
**Theoretical density**: 7.00 Mg/m³
**Volume**: 14.27 Å³/atom



Most stable structure, least stable structure: model Q, model P.



Model P:
First-principles (GGA-PBE) data for crystalline BP2AuS at its relaxed geometry, as listed in Alexandria via LeMat-Bulk.

Unit cell a=4.7790 b=4.7790 c=5.0374 alpha=90.00 beta=90.00 gamma=90.00
Last column: nearest neighbours and their distance in Å.
Space group P4/mmm (No. 123)
One atom of each set of equivalent atoms:
B1 0.0000 0.0000 0.0000 [1 per cell]  4 S 3.38, 8 P 3.47
P1 0.0000 0.5000 0.5000 [2 per cell]  2 Au 2.39
Au1 0.5000 0.5000 0.5000 [1 per cell]  4 P 2.39, 2 S 2.52
S1 0.5000 0.5000 0.0000 [1 per cell]  2 Au 2.52

**DOS(E_F)**: 3.9 states/eV/cell
**Theoretical density**: 4.36 Mg/m³
**Volume**: 23.01 Å³/atom



Model Q:
First-principles (GGA-PBE) data for crystalline BP2AuS at its relaxed geometry, as listed in Alexandria via LeMat-Bulk.

Unit cell a=4.2124 b=4.2124 c=4.1108 alpha=90.00 beta=90.00 gamma=90.00
Last column: nearest neighbours and their distance in Å.
Space group P4/mmm (No. 123)
One atom of each set of equivalent atoms:
B1 0.0000 0.0000 0.0000 [1 per cell]  2 S 2.06, 4 P 2.11
P1 0.0000 0.5000 0.0000 [2 per cell]  2 B 2.11
Au1 0.5000 0.5000 0.5000 [1 per cell]  8 P 2.94, 4 S 2.98
S1 0.0000 0.0000 0.5000 [1 per cell]  2 B 2.06

**DOS(E_F)**: 1.9 states/eV/cell
**Theoretical density**: 6.87 Mg/m³
**Volume**: 14.59 Å³/atom



Most stable structure, least stable structure: model Q, model P.



Model P:
First-principles (GGA-PBE) data for crystalline BPAuS2 at its relaxed geometry, as listed in Alexandria via LeMat-Bulk.

Unit cell a=4.3557 b=4.3557 c=3.9719 alpha=90.00 beta=90.00 gamma=90.00
Last column: nearest neighbours and their distance in Å.
Space group P4/mmm (No. 123)
One atom of each set of equivalent atoms:
B1 0.0000 0.0000 0.0000 [1 per cell]  2 P 1.99, 4 S 2.18
P1 0.0000 0.0000 0.5000 [1 per cell]  2 B 1.99
Au1 0.5000 0.5000 0.5000 [1 per cell]  8 S 2.95, 4 P 3.08
S1 0.0000 0.5000 0.0000 [2 per cell]  2 B 2.18

**DOS(E_F)**: 3.1 states/eV/cell
**Theoretical density**: 6.67 Mg/m³
**Volume**: 15.07 Å³/atom



Model Q:
First-principles (GGA-PBE) data for crystalline BPAuS2 at its relaxed geometry, as listed in Alexandria via LeMat-Bulk.

Unit cell a=4.5346 b=4.5346 c=4.7679 alpha=90.00 beta=90.00 gamma=90.00
Last column: nearest neighbours and their distance in Å.
Space group P4/mmm (No. 123)
One atom of each set of equivalent atoms:
B1 0.0000 0.0000 0.0000 [1 per cell]  4 Au 3.21, 8 S 3.29
P1 0.5000 0.5000 0.5000 [1 per cell]  4 S 2.27, 2 Au 2.38
Au1 0.5000 0.5000 0.0000 [1 per cell]  2 P 2.38
S1 0.0000 0.5000 0.5000 [2 per cell]  2 P 2.27

**DOS(E_F)**: 4.0 states/eV/cell
**Theoretical density**: 5.13 Mg/m³
**Volume**: 19.61 Å³/atom



Most stable structure, least stable structure: model P, model Q.



Model P:
First-principles (GGA-PBE) data for crystalline BPbAu2 at its relaxed geometry, as listed in Alexandria via LeMat-Bulk.

Unit cell a=5.3241 b=5.3241 c=12.8198 alpha=90.00 beta=90.00 gamma=90.00
Last column: nearest neighbours and their distance in Å.
Space group I-42d (No. 122)
One atom of each set of equivalent atoms:
B1 0.0000 0.0000 0.0000 [4 per cell]  4 Au 2.16
Pb1 0.0000 0.0000 0.5000 [4 per cell]  4 Au 2.95
Au1 0.1065 0.2500 0.1250 [8 per cell]  2 B 2.16

**DOS(E_F)**: 6.8 states/eV/cell
**Theoretical density**: 11.19 Mg/m³
**Volume**: 22.71 Å³/atom



Model Q:
First-principles (GGA-PBE) data for crystalline BPbAu2 at its relaxed geometry, as listed in Alexandria via LeMat-Bulk.

Unit cell a=6.8011 b=6.8011 c=6.8011 alpha=90.00 beta=90.00 gamma=90.00
Last column: nearest neighbours and their distance in Å.
Space group Fm-3m (No. 225)
One atom of each set of equivalent atoms:
B1 0.0000 0.0000 0.0000 [4 per cell]  8 Au 2.94
Pb1 0.0000 0.0000 0.5000 [4 per cell]  8 Au 2.94
Au1 0.2500 0.2500 0.2500 [8 per cell]  4 Pb 2.94, 4 B 2.94

**DOS(E_F)**: 8.7 states/eV/cell
**Theoretical density**: 12.92 Mg/m³
**Volume**: 19.66 Å³/atom



Most stable structure, least stable structure: model P, model Q.



Model P:
First-principles (GGA-PBE) data for crystalline BPb3Au at its relaxed geometry, as listed in Alexandria via LeMat-Bulk.

Unit cell a=5.5509 b=5.5509 c=5.5509 alpha=90.00 beta=90.00 gamma=90.00
Last column: nearest neighbours and their distance in Å.
Space group Pm-3m (No. 221)
One atom of each set of equivalent atoms:
B1 0.0000 0.0000 0.0000 [1 per cell]  12 Pb 3.93
Pb1 0.0000 0.5000 0.5000 [3 per cell]  2 Au 2.78
Au1 0.5000 0.5000 0.5000 [1 per cell]  6 Pb 2.78

**DOS(E_F)**: 2.4 states/eV/cell
**Theoretical density**: 8.05 Mg/m³
**Volume**: 34.21 Å³/atom



Model Q:
First-principles (GGA-PBE) data for crystalline BPb3Au at its relaxed geometry, as listed in Alexandria via LeMat-Bulk.

Unit cell a=5.0480 b=5.0480 c=5.0480 alpha=90.00 beta=90.00 gamma=90.00
Last column: nearest neighbours and their distance in Å.
Space group Pm-3m (No. 221)
One atom of each set of equivalent atoms:
B1 0.0000 0.0000 0.0000 [1 per cell]  6 Pb 2.52
Pb1 0.0000 0.0000 0.5000 [3 per cell]  2 B 2.52
Au1 0.5000 0.5000 0.5000 [1 per cell]  12 Pb 3.57

**DOS(E_F)**: 2.2 states/eV/cell
**Theoretical density**: 10.71 Mg/m³
**Volume**: 25.73 Å³/atom



Most stable structure, least stable structure: model Q, model P.



Model P:
First-principles (GGA-PBE) data for crystalline B2PbAu2 at its relaxed geometry, as listed in Alexandria via LeMat-Bulk.

Unit cell a=7.7199 b=7.7199 c=3.0039 alpha=90.00 beta=90.00 gamma=90.00
Last column: nearest neighbours and their distance in Å.
Space group P4/mbm (No. 127)
One atom of each set of equivalent atoms:
B1 0.0771 0.4229 0.0000 [4 per cell]  1 B 1.68
Pb1 0.0000 0.0000 0.5000 [2 per cell]  4 Au 2.88, 2 Pb 3.00
Au1 0.1645 0.6645 0.5000 [4 per cell]  4 B 2.49

**DOS(E_F)**: 4.7 states/eV/cell
**Theoretical density**: 11.55 Mg/m³
**Volume**: 17.90 Å³/atom



Model Q:
First-principles (GGA-PBE) data for crystalline B2PbAu2 at its relaxed geometry, as listed in Alexandria via LeMat-Bulk.

Unit cell a=4.0417 b=4.0417 c=10.6340 alpha=90.00 beta=90.00 gamma=90.00
Last column: nearest neighbours and their distance in Å.
Space group I4/mmm (No. 139)
One atom of each set of equivalent atoms:
B1 0.0000 0.5000 0.2500 [4 per cell]  4 Au 2.23
Pb1 0.0000 0.0000 0.0000 [2 per cell]  10 Au 3.33-3.60, 8 B 3.34
Au1 0.0000 0.0000 0.3385 [4 per cell]  4 B 2.23

**DOS(E_F)**: 3.3 states/eV/cell
**Theoretical density**: 11.91 Mg/m³
**Volume**: 17.37 Å³/atom



Most stable structure, least stable structure: model Q, model P.



Model P:
First-principles (GGA-PBE) data for crystalline B3PdAu at its relaxed geometry, as listed in Alexandria via LeMat-Bulk.

Unit cell a=4.1234 b=4.1234 c=4.1234 alpha=90.00 beta=90.00 gamma=90.00
Last column: nearest neighbours and their distance in Å.
Space group Pm-3m (No. 221)
One atom of each set of equivalent atoms:
B1 0.0000 0.0000 0.5000 [3 per cell]  2 Pd 2.06
Pd1 0.0000 0.0000 0.0000 [1 per cell]  6 B 2.06
Au1 0.5000 0.5000 0.5000 [1 per cell]  12 B 2.92

**DOS(E_F)**: 1.1 states/eV/cell
**Theoretical density**: 7.95 Mg/m³
**Volume**: 14.02 Å³/atom



Model Q:
First-principles (GGA-PBE) data for crystalline B3PdAu at its relaxed geometry, as listed in Alexandria via LeMat-Bulk.

Unit cell a=4.1577 b=4.1577 c=4.1577 alpha=90.00 beta=90.00 gamma=90.00
Last column: nearest neighbours and their distance in Å.
Space group Pm-3m (No. 221)
One atom of each set of equivalent atoms:
B1 0.0000 0.0000 0.5000 [3 per cell]  2 Au 2.08
Pd1 0.5000 0.5000 0.5000 [1 per cell]  12 B 2.94
Au1 0.0000 0.0000 0.0000 [1 per cell]  6 B 2.08

**DOS(E_F)**: 1.5 states/eV/cell
**Theoretical density**: 7.76 Mg/m³
**Volume**: 14.37 Å³/atom



Most stable structure, least stable structure: model P, model Q.



Model P:
First-principles (GGA-PBE) data for crystalline BPd4Au at its relaxed geometry, as listed in Alexandria via LeMat-Bulk.

Unit cell a=12.9557 b=5.0043 c=5.6954 alpha=90.00 beta=107.35 gamma=90.00
Last column: nearest neighbours and their distance in Å.
Space group C2/c (No. 15)
One atom of each set of equivalent atoms:
B1 0.2500 0.2500 0.0000 [4 per cell]  6 Pd 2.07-2.11
Pd1 0.0971 0.0896 0.9471 [8 per cell]  1 B 2.07
Pd2 0.1956 0.4038 0.6397 [8 per cell]  2 B 2.11
Au1 0.0000 0.4035 0.2500 [4 per cell]  10 Pd 2.83-2.95, 2 Au 3.01

**DOS(E_F)**: 7.5 states/eV/cell
**Theoretical density**: 11.94 Mg/m³
**Volume**: 14.69 Å³/atom



Model Q:
First-principles (GGA-PBE) data for crystalline BPd4Au at its relaxed geometry, as listed in Alexandria via LeMat-Bulk.

Unit cell a=13.6368 b=5.6365 c=4.8852 alpha=90.00 beta=110.93 gamma=90.00
Last column: nearest neighbours and their distance in Å.
Space group C2/m (No. 12)
One atom of each set of equivalent atoms:
B1 0.9998 0.0000 0.1869 [4 per cell]  1 B 1.83
Pd1 0.0000 0.2560 0.5000 [4 per cell]  2 B 2.10
Pd2 0.1137 0.2503 0.1137 [8 per cell]  2 B 2.22
Pd3 0.1902 0.0000 0.6902 [4 per cell]  4 Au 2.82-2.87, 8 Pd 2.82-2.99, 2 B 2.86-2.87
Au1 0.1926 0.5000 0.6923 [4 per cell]  12 Pd 2.81-2.99

**DOS(E_F)**: 6.8 states/eV/cell
**Theoretical density**: 12.00 Mg/m³
**Volume**: 14.61 Å³/atom



Most stable structure, least stable structure: model P, model Q.